Here is a geometry-optimized LaZnIn2Os structure from Alexandria. Energies are from PBE.

Output
formation energy from the elements	0.870	eV per atom
calculated volume	26.319	A^3/atom
size of the total moment	1.1	μB/cell

Cell lengths 4.8319, 5.6365, 4.8319 Å; angles 90.00, 90.00, 90.00 degrees
Positions (direct):
Zn (0.0000, 0.0000, 0.0000)
In (0.0000, 0.0000, 0.5000)
In (0.5000, 0.0000, 0.0000)
Os (0.5000, 0.5000, 0.5000)
La (0.0000, 0.5000, 0.0000)